Entry 1:
Crystalline La3PrHo8 at its relaxed geometry, computed with PBE.

## Properties
space-group type = No. 121

Unit cell a=8.4106 b=8.4106 c=8.4106 alpha=116.83 beta=116.83 gamma=95.58
Fractional positions:
La1 0.0000 0.0000 0.0000
La2 0.2500 0.7500 0.5000
La3 0.7500 0.2500 0.5000
Pr1 0.5000 0.5000 0.0000
Ho1 0.1249 0.3726 0.0000
Ho2 0.2444 0.7485 0.0000
Ho3 0.2515 0.2515 0.4959
Ho4 0.3726 0.1249 0.0000
Ho5 0.6274 0.6274 0.7523
Ho6 0.7485 0.2444 0.0000
Ho7 0.7556 0.7556 0.5041
Ho8 0.8751 0.8751 0.2477

=====

Entry 2:
Crystalline LaPr6Ho2 at its relaxed geometry, computed with PBE.

## Properties
polymorph energy (0 for the lowest one) = 0.00 eV per formula unit
space-group type = No. 2

Unit cell a=3.6873 b=9.0075 c=9.7324 alpha=89.33 beta=79.11 gamma=89.94
Fractional positions:
La1 0.0000 0.0000 0.0000
Pr1 0.1083 0.6632 0.7827
Pr2 0.2205 0.3356 0.5590
Pr3 0.3340 0.0015 0.3327
Pr4 0.6660 0.9985 0.6673
Pr5 0.7795 0.6644 0.4410
Pr6 0.8917 0.3368 0.2173
Ho1 0.4444 0.6656 0.1106
Ho2 0.5556 0.3344 0.8894

=====

Entry 3:
Crystalline La16Pr7Ho6 at its relaxed geometry, computed with PBE.

## Properties
space-group type = No. 225

Unit cell a=11.5564 b=11.5564 c=11.5564 alpha=60.00 beta=60.00 gamma=60.00
Fractional positions:
La1 0.0461 0.6513 0.6513
La2 0.1251 0.1251 0.1251
La3 0.1251 0.1251 0.6248
La4 0.1251 0.6248 0.1251
La5 0.3487 0.3487 0.3487
La6 0.3487 0.3487 0.9539
La7 0.3487 0.9539 0.3487
La8 0.3752 0.8749 0.8749
La9 0.6248 0.1251 0.1251
La10 0.6513 0.0461 0.6513
La11 0.6513 0.6513 0.0461
La12 0.6513 0.6513 0.6513
La13 0.8749 0.3752 0.8749
La14 0.8749 0.8749 0.3752
La15 0.8749 0.8749 0.8749
La16 0.9539 0.3487 0.3487
Pr1 0.0000 0.0000 0.0000
Pr2 0.0000 0.0000 0.5000
Pr3 0.0000 0.5000 0.0000
Pr4 0.0000 0.5000 0.5000
Pr5 0.5000 0.0000 0.0000
Pr6 0.5000 0.0000 0.5000
Pr7 0.5000 0.5000 0.0000
Ho1 0.2623 0.2623 0.7377
Ho2 0.2623 0.7377 0.2623
Ho3 0.2623 0.7377 0.7377
Ho4 0.7377 0.2623 0.2623
Ho5 0.7377 0.2623 0.7377
Ho6 0.7377 0.7377 0.2623

=====

Entry 4:
Crystalline La3Pr4Ho5 at its relaxed geometry, computed with PBE.

## Properties
polymorph energy (0 for the lowest one) = 0.00 eV per formula unit
space-group type = No. 2

Unit cell a=6.3101 b=7.2788 c=8.9414 alpha=89.89 beta=89.94 gamma=89.98
Fractional positions:
La1 0.0000 0.0000 0.0000
La2 0.1694 0.2490 0.3309
La3 0.8306 0.7510 0.6691
Pr1 0.1704 0.7522 0.3318
Pr2 0.3299 0.4998 0.6707
Pr3 0.6701 0.5002 0.3293
Pr4 0.8296 0.2478 0.6682
Ho1 0.0000 0.5000 0.0000
Ho2 0.3352 0.0000 0.6703
Ho3 0.4985 0.7505 0.0004
Ho4 0.5015 0.2495 0.9996
Ho5 0.6648 0.0000 0.3297

=====

Entry 5:
Crystalline LaPrHo3 at its relaxed geometry, computed with PBE.

## Properties
space-group type = No. 6

Unit cell a=6.0963 b=5.7041 c=6.1128 alpha=90.00 beta=119.85 gamma=90.00
Fractional positions:
La1 0.0000 0.0000 0.0000
Pr1 0.3326 0.0000 0.6639
Ho1 0.3388 0.5000 0.3309
Ho2 0.6647 0.5000 0.0059
Ho3 0.9896 0.5000 0.6571

=====

Entry 6:
Crystalline LaPr5Ho4 at its relaxed geometry, computed with PBE.

## Properties
polymorph energy (0 for the lowest one) = 0.00 eV per formula unit
space-group type = No. 123

Unit cell a=3.6632 b=3.6632 c=25.5000 alpha=90.00 beta=90.00 gamma=90.00
Fractional positions:
La1 0.0000 0.0000 0.0000
Pr1 0.5000 0.5000 0.1050
Pr2 0.5000 0.5000 0.3030
Pr3 0.5000 0.5000 0.5000
Pr4 0.5000 0.5000 0.6970
Pr5 0.5000 0.5000 0.8950
Ho1 0.0000 0.0000 0.2044
Ho2 0.0000 0.0000 0.4014
Ho3 0.0000 0.0000 0.5986
Ho4 0.0000 0.0000 0.7956

=====

Entry 7:
Crystalline La6PrHo3 at its relaxed geometry, computed with PBE.

## Properties
polymorph energy (0 for the lowest one) = 0.00 eV per formula unit
space-group type = No. 36

Unit cell a=11.2914 b=11.2914 c=6.4838 alpha=90.00 beta=90.00 gamma=122.50
Fractional positions:
La1 0.0293 0.9707 0.5000
La2 0.0713 0.4920 0.9888
La3 0.2847 0.3662 0.1788
La4 0.2879 0.7121 0.2996
La5 0.3662 0.2847 0.6788
La6 0.4920 0.0713 0.4888
La7 0.5080 0.9287 0.9888
La8 0.6338 0.7153 0.1788
La9 0.7121 0.2879 0.7996
La10 0.7153 0.6338 0.6788
La11 0.9287 0.5080 0.4888
La12 0.9707 0.0293 0.0000
Pr1 0.1825 0.8175 0.7040
Pr2 0.8175 0.1825 0.2040
Ho1 0.0521 0.2880 0.6014
Ho2 0.2880 0.0521 0.1014
Ho3 0.3880 0.6120 0.7212
Ho4 0.6120 0.3880 0.2212
Ho5 0.7120 0.9479 0.6014
Ho6 0.9479 0.7120 0.1014

=====

Entry 8:
Crystalline La5Pr2Ho4 at its relaxed geometry, computed with PBE.

## Properties
polymorph energy (0 for the lowest one) = 0.00 eV per formula unit
space-group type = No. 12

Unit cell a=9.3259 b=9.3259 c=12.3715 alpha=106.99 beta=106.99 gamma=22.40
Fractional positions:
La1 0.0000 0.0000 0.0000
La2 0.3343 0.3343 0.9895
La3 0.3853 0.3853 0.4830
La4 0.6147 0.6147 0.5170
La5 0.6657 0.6657 0.0105
Pr1 0.1749 0.1749 0.2871
Pr2 0.8251 0.8251 0.7129
Ho1 0.1696 0.1696 0.7691
Ho2 0.4953 0.4953 0.2496
Ho3 0.5047 0.5047 0.7504
Ho4 0.8304 0.8304 0.2309

=====

| no. | electronic total energy (eV/cell) | magnetization (μB per formula unit) | formation energy (eV per atom) |
| --- | --- | --- | --- |
| 1 | -48.93 | 0.00 | 0.604 |
| 2 | -42.59 | 0.00 | 0.019 |
| 3 | -133.77 | 0.00 | 0.207 |
| 4 | -56.54 | 0.00 | 0.021 |
| 5 | -21.49 | 0.35 | 0.389 |
| 6 | -46.95 | 0.00 | 0.019 |
| 7 | -93.72 | 0.00 | 0.122 |
| 8 | -51.03 | 0.00 | 0.134 |